5
Lattice="4.6837 0.0000 0.0000 0.0000 4.6837 0.0000 0.0000 0.0000 4.0510" Properties=species:S:1:pos:R:3 comment="Ti2MoOF PBE+U relaxed" e_tot_ev_per_atom=-5.37 pbc="T T T"
Ti 0.0000 2.3418 0.0000
Ti 2.3418 0.0000 0.0000
Mo 0.0000 0.0000 0.0000
O 2.3418 2.3418 2.0255
F 0.0000 0.0000 2.0255